# 1
First-principles (GGA-PBEsol) data for a relaxed Ag2BrCl crystal, as listed in Alexandria via LeMat-Bulk.

POSCAR file:
```
Ag2BrCl
1.0
2.0319 1.1731 6.5921
-2.0319 1.1731 6.5921
0.0000 -2.3462 6.5921
Ag Br Cl
2 1 1
Direct
0.0000 0.0000 0.0000 Ag
0.2522 0.2522 0.2522 Ag
0.5267 0.5267 0.5267 Br
0.7151 0.7151 0.7151 Cl
```

The calculation puts the electronic total energy at -11.58 eV per formula unit. The crystal system is trigonal. The value obtained for the energy above the most stable polymorph in this dataset is 42 meV/atom. For the uncorrected formation energy, the calculation gives -0.27 eV per atom.

***

# 2
First-principles (GGA-PBEsol) data for a relaxed ZrSb2Au crystal, as listed in Alexandria via LeMat-Bulk.

POSCAR file:
```
ZrSb2Au
1.0
-1.9655 2.4059 4.5227
1.9655 -2.4059 4.5227
1.9655 2.4059 -4.5227
Zr Sb Au
1 2 1
Direct
0.0000 0.0000 0.0000 Zr
0.2593 0.7593 0.5000 Sb
0.7407 0.2407 0.5000 Sb
0.5000 0.5000 0.0000 Au
```

The calculation puts the electronic total energy at -23.31 eV per formula unit. The crystal system is orthorhombic. For the uncorrected formation energy, the calculation gives -0.29 eV per atom.

***

# 3
First-principles (GGA-PBEsol) data for a relaxed Be3W2 crystal, as listed in Alexandria via LeMat-Bulk.

POSCAR file:
```
Be3W2
1.0
0.0000 5.8384 2.3027
3.9577 0.0000 2.3027
3.9577 5.8384 0.0000
Be W
6 4
Direct
0.0000 0.0000 0.0000 Be
0.2500 0.2500 0.2500 Be
0.4964 0.8952 0.2597 Be
0.8952 0.4964 0.3486 Be
0.9014 0.9903 0.3548 Be
0.9903 0.9014 0.7536 Be
0.3311 0.5683 0.7741 W
0.4759 0.9235 0.9189 W
0.5683 0.3311 0.3265 W
0.9235 0.4759 0.6817 W
```

The calculation puts the electronic total energy at -40.55 eV per formula unit. The crystal system is orthorhombic. For the energy of formation from the pure elements, the calculation gives -187 meV/atom.

***

# 4
First-principles (GGA-PBEsol) data for a relaxed KSmP3HO10 crystal, as listed in Alexandria via LeMat-Bulk.

POSCAR file:
```
KSmP3HO10
1.0
6.9442 0.0000 0.0000
1.0011 7.6838 0.0000
2.4230 2.0688 7.9370
K Sm P H O
2 2 6 2 20
Direct
0.2061 0.2245 0.0393 K
0.7939 0.7755 0.9607 K
0.2253 0.1291 0.5110 Sm
0.7747 0.8709 0.4890 Sm
0.1465 0.5390 0.6385 P
0.3276 0.7329 0.8146 P
0.3298 0.8082 0.3417 P
0.6702 0.1918 0.6583 P
0.6724 0.2671 0.1854 P
0.8535 0.4610 0.3615 P
0.3187 0.7101 0.0810 H
0.6813 0.2899 0.9190 H
0.0442 0.3450 0.3370 O
0.1335 0.9276 0.3707 O
0.1364 0.3390 0.6733 O
0.1927 0.8939 0.7567 O
0.2554 0.6531 0.0089 O
0.2809 0.5640 0.7543 O
0.2806 0.6029 0.4483 O
0.4176 0.7985 0.1617 O
0.4486 0.2448 0.2451 O
0.4669 0.8717 0.4241 O
0.5331 0.1283 0.5759 O
0.5514 0.7552 0.7549 O
0.5824 0.2015 0.8383 O
0.7194 0.3971 0.5517 O
0.7191 0.4360 0.2457 O
0.7446 0.3469 0.9911 O
0.8073 0.1061 0.2433 O
0.8636 0.6610 0.3267 O
0.8665 0.0724 0.6293 O
0.9558 0.6550 0.6630 O
```

The calculation puts the electronic total energy at -118.48 eV per formula unit. The crystal system is triclinic.

***

# 5
First-principles (GGA-PBEsol) data for a relaxed Rb3SeBr crystal, as listed in Alexandria via LeMat-Bulk.

POSCAR file:
```
Rb3SeBr
1.0
6.1776 0.0000 0.0000
0.0000 6.1776 0.0000
0.0000 0.0000 6.1776
Rb Se Br
3 1 1
Direct
0.0000 0.0000 0.5000 Rb
0.0000 0.5000 0.0000 Rb
0.5000 0.0000 0.0000 Rb
0.5000 0.5000 0.5000 Se
0.0000 0.0000 0.0000 Br
```

The calculation puts the electronic total energy at -13.69 eV per formula unit. The crystal system is cubic. For the uncorrected formation energy, the calculation gives -0.98 eV per atom.

***

# 6
First-principles (GGA-PBEsol) data for a relaxed Sc3GePb crystal, as listed in Alexandria via LeMat-Bulk.

POSCAR file:
```
Sc3GePb
1.0
5.2798 0.0000 0.0000
0.0000 5.2798 0.0000
0.0000 0.0000 5.2798
Sc Ge Pb
3 1 1
Direct
0.0000 0.0000 0.5000 Sc
0.0000 0.5000 0.0000 Sc
0.5000 0.0000 0.0000 Sc
0.5000 0.5000 0.5000 Ge
0.0000 0.0000 0.0000 Pb
```

The calculation puts the electronic total energy at -26.60 eV per formula unit. The crystal system is cubic. For the energy of formation from the pure elements, the calculation gives 430 meV/atom.